## PmNd3Ir3 (PBE)

Data for an optimized crystal structure of PmNd3Ir3.

Unit cell a=7.301 b=7.301 c=7.120 alpha=79.28 beta=79.28 gamma=81.39
Fractional positions:
Pm (0.782, 0.782, 0.959)
Pm (0.218, 0.218, 0.041)
Nd (0.701, 0.701, 0.505)
Nd (0.190, 0.810, 0.500)
Nd (0.810, 0.190, 0.500)
Nd (0.273, 0.727, 0.000)
Nd (0.727, 0.273, 0.000)
Nd (0.299, 0.299, 0.495)
Ir (0.948, 0.948, 0.214)
Ir (0.986, 0.489, 0.734)
Ir (0.489, 0.986, 0.734)
Ir (0.014, 0.511, 0.266)
Ir (0.511, 0.014, 0.266)
Ir (0.052, 0.052, 0.786)

Properties
- raw total energy (eV per atom) = -7.034
- space group = C2/m (12)
- spin magnetization (μB/f.u.) = 0.0